Below is crystalline Na2AgSe2 at its relaxed geometry, with properties calculated at the PBE level.

a = 3.9654 Å, b = 3.9654 Å, c = 16.4403 Å
α = 90.00°, β = 90.00°, γ = 90.00°
Closest atoms and distances in Å follow each position.
Space group I4/mmm (No. 139)
One atom of each set of equivalent atoms:
Na 0.0000 0.0000 0.1104 x4  4 Se 3.03, 4 Ag 3.34
Ag 0.0000 0.0000 0.5000 x2  8 Na 3.34
Se 0.0000 0.5000 0.2500 x4  4 Se 2.80, 4 Na 3.03

Below is crystalline Na2AgSe2 at its relaxed geometry, with properties calculated at the PBE level.

a = 7.3123 Å, b = 7.3123 Å, c = 4.3367 Å
α = 90.00°, β = 90.00°, γ = 90.00°
Closest atoms and distances in Å follow each position.
Space group P4/mbm (No. 127)
One atom of each set of equivalent atoms:
Na 0.1467 0.3533 0.0000 x4  6 Se 2.92-3.14, 1 Na 3.03
Ag 0.0000 0.0000 0.5000 x2  4 Se 2.73
Se 0.1639 0.6639 0.5000 x4  2 Ag 2.73, 2 Na 2.92

| no. | energy above the lowest structure with this stoichiometry (eV per atom) | formation energy without anion corrections (eV per atom) |
| --- | --- | --- |
| 1 | 0.437 | -0.2238 |
| 2 | 0.051 | -0.6093 |